No. 1
SiPdRu: relaxed, PBE.

## Properties
density of states at the Fermi level = 0.558 states/eV/atom
raw total energy = -0.260 hartree per atom

Unit cell a=6.7714 b=6.7714 c=4.2264 alpha=90.00 beta=90.00 gamma=154.76
Fractional coordinates of all 6 atoms:
1 Si 0.0702 0.9298 0.7500
2 Si 0.9298 0.0702 0.2500
3 Pd 0.2819 0.7181 0.2500
4 Pd 0.7181 0.2819 0.7500
5 Ru 0.4236 0.5764 0.7500
6 Ru 0.5764 0.4236 0.2500

No. 2
Si2PdRu2: relaxed, PBE.

## Properties
density of states at the Fermi level = 0.658 states/eV/atom
raw total energy = -0.268 hartree per atom

Unit cell a=7.0283 b=7.0283 c=2.8226 alpha=90.00 beta=90.00 gamma=90.00
Fractional coordinates of all 10 atoms:
1 Si 0.1546 0.3454 0.0000
2 Si 0.3454 0.8454 0.0000
3 Si 0.6546 0.1546 0.0000
4 Si 0.8454 0.6546 0.0000
5 Pd 0.0000 0.0000 0.5000
6 Pd 0.5000 0.5000 0.5000
7 Ru 0.1421 0.6421 0.5000
8 Ru 0.3579 0.1421 0.5000
9 Ru 0.6421 0.8579 0.5000
10 Ru 0.8579 0.3579 0.5000

No. 3
Si2PdRu: relaxed, PBE.

## Properties
density of states at the Fermi level = 0.478 states/eV/atom
raw total energy = -0.230 hartree per atom

Unit cell a=6.6741 b=6.6741 c=6.6741 alpha=133.07 beta=133.07 gamma=68.54
Fractional coordinates of all 8 atoms:
1 Si 0.1116 0.6250 0.9866
2 Si 0.3750 0.3616 0.4866
3 Si 0.6384 0.1250 0.0134
4 Si 0.8750 0.8884 0.5134
5 Pd 0.2500 0.7500 0.5000
6 Pd 0.5000 0.5000 0.0000
7 Ru 0.0000 0.0000 0.0000
8 Ru 0.7500 0.2500 0.5000

No. 4
SiPd2Ru: relaxed, PBE.

## Properties
density of states at the Fermi level = 1.414 states/eV/atom
raw total energy = -0.225 hartree per atom

Unit cell a=9.6160 b=9.6160 c=9.6160 alpha=158.09 beta=158.09 gamma=31.18
Fractional coordinates of all 8 atoms:
1 Si 0.0000 0.0000 0.0000
2 Si 0.7500 0.2500 0.5000
3 Pd 0.1215 0.6250 0.9965
4 Pd 0.3750 0.3715 0.4965
5 Pd 0.6285 0.1250 0.0035
6 Pd 0.8750 0.8785 0.5035
7 Ru 0.2500 0.7500 0.5000
8 Ru 0.5000 0.5000 0.0000

Calculated formation energy without anion corrections in order - -0.438; -0.367; 0.062; 0.148 eV per atom